No. 1
## TiHgBr3 (PBE)

Data for a geometry-optimized TiHgBr3 structure.

a b c (Å): 5.212 5.212 5.212
angles (deg): 90.00 90.00 90.00
Space group Pm-3m (No. 221)
One atom of each set of equivalent atoms:
Ti (0.000, 0.000, 0.000) x1
Hg (0.500, 0.500, 0.500) x1
Br (0.000, 0.000, 0.500) x3

Values from the calculation:
The uncorrected formation energy comes out at -0.7289 eV/atom. For the energy above the most stable polymorph in this dataset, the calculation gives 207 meV/atom.

---

No. 2
## Y5Ho4Er4 (PBE)

Data for a geometry-optimized Y5Ho4Er4 structure.

a b c (Å): 12.762 12.762 4.991
angles (deg): 90.00 90.00 90.00
Space group I4/m (No. 87)
One atom of each set of equivalent atoms:
Y (0.000, 0.000, 0.000) x2
Y (0.038, 0.194, 0.500) x8
Ho (0.155, 0.768, 0.000) x8
Er (0.076, 0.385, 0.000) x8

Values from the calculation:
As for the formation energy from the elements: 0.024 eV/atom.

---

No. 3
## Dy2HoGa (PBE)

Data for a geometry-optimized Dy2HoGa structure.

a b c (Å): 4.713 4.713 4.714
angles (deg): 90.00 90.00 90.00
Space group P4/mmm (No. 123)
One atom of each set of equivalent atoms:
Dy (0.000, 0.500, 0.000) x2
Ho (0.000, 0.000, 0.500) x1
Ga (0.500, 0.500, 0.500) x1

Values from the calculation:
As for the formation energy from the elements: -0.240 eV/atom. For the energy above the most stable polymorph in this dataset, the calculation gives 38 meV/atom.

---

no.,total moment (μB/cell),D(E_F) (states/eV/cell)
1,1.0,3.9
2,0.0,36.7
3,0.0,6.2